# GGA-PBE KSrCd2, optimized geometry
data_KSrCd2
_chemical_formula_sum 'K4 Sr4 Cd8'
_symmetry_space_group_name_H-M 'F -4 3 m'
_symmetry_Int_Tables_number 216
_symmetry_space_group_name_Hall 'F -4 2 3'
_cell_length_a 7.966
_cell_length_b 7.966
_cell_length_c 7.966
_cell_angle_alpha 90.00
_cell_angle_beta 90.00
_cell_angle_gamma 90.00
loop_
_atom_site_label
_atom_site_type_symbol
_atom_site_fract_x
_atom_site_fract_y
_atom_site_fract_z
K1 K 0.000 0.000 0.000
Sr1 Sr 0.250 0.250 0.250
Cd1 Cd 0.000 0.000 0.500
Cd2 Cd 0.250 0.250 0.750
# Energy relative to the elements ... -0.032 eV/atom
# D(E_F) ... 4.6 states/eV/f.u.
# Energy ... -19.0 eV per cell

# GGA-PBE K2SrCd2, optimized geometry
data_K2SrCd2
_chemical_formula_sum 'K4 Sr2 Cd4'
_symmetry_space_group_name_H-M 'I 4/m m m'
_symmetry_Int_Tables_number 139
_symmetry_space_group_name_Hall '-I 4 2'
_cell_length_a 5.054
_cell_length_b 5.054
_cell_length_c 16.259
_cell_angle_alpha 90.00
_cell_angle_beta 90.00
_cell_angle_gamma 90.00
loop_
_atom_site_label
_atom_site_type_symbol
_atom_site_fract_x
_atom_site_fract_y
_atom_site_fract_z
K1 K 0.000 0.500 0.250
Sr1 Sr 0.000 0.000 0.000
Cd1 Cd 0.000 0.000 0.412
# Energy relative to the elements ... -0.008 eV/atom
# D(E_F) ... 5.0 states/eV/f.u.
# Energy ... -11.5 eV per cell

# GGA-PBE K2SrCd, optimized geometry
data_K2SrCd
_chemical_formula_sum 'K4 Sr2 Cd2'
_symmetry_space_group_name_H-M 'C 1 m 1'
_symmetry_Int_Tables_number 8
_symmetry_space_group_name_Hall 'C -2y'
_cell_length_a 12.585
_cell_length_b 4.429
_cell_length_c 8.137
_cell_angle_alpha 90.00
_cell_angle_beta 114.22
_cell_angle_gamma 90.00
loop_
_atom_site_label
_atom_site_type_symbol
_atom_site_fract_x
_atom_site_fract_y
_atom_site_fract_z
K1 K 0.000 0.000 0.000
K2 K 0.194 0.000 0.730
Sr1 Sr 0.315 0.500 0.356
Cd1 Cd 0.030 0.500 0.363
# Energy relative to the elements ... 0.012 eV/atom
# D(E_F) ... 3.3 states/eV/f.u.
# Energy ... -9.5 eV per cell

# GGA-PBE KSrCd2, optimized geometry
data_KSrCd2
_chemical_formula_sum 'K2 Sr2 Cd4'
_symmetry_space_group_name_H-M 'I m m 2'
_symmetry_Int_Tables_number 44
_symmetry_space_group_name_Hall 'I 2 -2'
_cell_length_a 4.078
_cell_length_b 5.870
_cell_length_c 11.857
_cell_angle_alpha 90.00
_cell_angle_beta 90.00
_cell_angle_gamma 90.00
loop_
_atom_site_label
_atom_site_type_symbol
_atom_site_fract_x
_atom_site_fract_y
_atom_site_fract_z
K1 K 0.000 0.000 0.000
Sr1 Sr 0.000 0.500 0.203
Cd1 Cd 0.000 0.000 0.450
Cd2 Cd 0.000 0.500 0.764
# Energy relative to the elements ... -0.106 eV/atom
# D(E_F) ... 3.3 states/eV/f.u.
# Energy ... -10.1 eV per cell

# GGA-PBE KSrCd2, optimized geometry
data_KSrCd2
_chemical_formula_sum 'K2 Sr2 Cd4'
_symmetry_space_group_name_H-M 'I -4 m 2'
_symmetry_Int_Tables_number 119
_symmetry_space_group_name_Hall 'I -4 -2'
_cell_length_a 5.038
_cell_length_b 5.038
_cell_length_c 11.010
_cell_angle_alpha 90.00
_cell_angle_beta 90.00
_cell_angle_gamma 90.00
loop_
_atom_site_label
_atom_site_type_symbol
_atom_site_fract_x
_atom_site_fract_y
_atom_site_fract_z
K1 K 0.000 0.000 0.000
Sr1 Sr 0.000 0.500 0.750
Cd1 Cd 0.000 0.000 0.500
Cd2 Cd 0.000 0.500 0.250
# Energy relative to the elements ... -0.055 eV/atom
# D(E_F) ... 2.2 states/eV/f.u.
# Energy ... -9.7 eV per cell

# GGA-PBE K4SrCd, optimized geometry
data_K4SrCd
_chemical_formula_sum 'K16 Sr4 Cd4'
_symmetry_space_group_name_H-M 'F -4 3 m'
_symmetry_Int_Tables_number 216
_symmetry_space_group_name_Hall 'F -4 2 3'
_cell_length_a 11.306
_cell_length_b 11.306
_cell_length_c 11.306
_cell_angle_alpha 90.00
_cell_angle_beta 90.00
_cell_angle_gamma 90.00
loop_
_atom_site_label
_atom_site_type_symbol
_atom_site_fract_x
_atom_site_fract_y
_atom_site_fract_z
K1 K 0.125 0.125 0.125
Sr1 Sr 0.250 0.250 0.750
Cd1 Cd 0.000 0.000 0.500
# Energy relative to the elements ... 0.210 eV/atom
# D(E_F) ... 5.7 states/eV/f.u.
# Energy ... -22.9 eV per cell

# GGA-PBE KSrCd, optimized geometry
data_KSrCd
_chemical_formula_sum 'K4 Sr4 Cd4'
_symmetry_space_group_name_H-M 'F -4 3 m'
_symmetry_Int_Tables_number 216
_symmetry_space_group_name_Hall 'F -4 2 3'
_cell_length_a 8.331
_cell_length_b 8.331
_cell_length_c 8.331
_cell_angle_alpha 90.00
_cell_angle_beta 90.00
_cell_angle_gamma 90.00
loop_
_atom_site_label
_atom_site_type_symbol
_atom_site_fract_x
_atom_site_fract_y
_atom_site_fract_z
K1 K 0.000 0.000 0.000
Sr1 Sr 0.000 0.000 0.500
Cd1 Cd 0.250 0.250 0.250
# Energy relative to the elements ... 0.026 eV/atom
# D(E_F) ... 2.4 states/eV/f.u.
# Energy ... -14.5 eV per cell

# GGA-PBE KSrCd17, optimized geometry
data_KSrCd17
_chemical_formula_sum 'K3 Sr3 Cd51'
_symmetry_space_group_name_H-M 'R 3 m'
_symmetry_Int_Tables_number 160
_symmetry_space_group_name_Hall 'R 3 -2"'
_cell_length_a 10.3447
_cell_length_b 10.3447
_cell_length_c 15.1901
_cell_angle_alpha 90.00
_cell_angle_beta 90.00
_cell_angle_gamma 120.00
loop_
_atom_site_label
_atom_site_type_symbol
_atom_site_fract_x
_atom_site_fract_y
_atom_site_fract_z
K1 K 0.0000 0.0000 0.0000
Sr1 Sr 0.0000 0.0000 0.6756
Cd1 Cd 0.0000 0.0000 0.2396
Cd2 Cd 0.0000 0.0000 0.4413
Cd3 Cd 0.0003 0.2972 0.3393
Cd4 Cd 0.0024 0.5012 0.8387
Cd5 Cd 0.0132 0.5066 0.4885
Cd6 Cd 0.1688 0.3377 0.5241
# Energy relative to the elements ... -0.111 eV/atom
# D(E_F) ... 5.5 states/eV/f.u.
# Energy ... -61.4 eV per cell